Entry 1:
Computed, not measured: MnTlSe after structural relaxation at the PBE-GGA level of DFT.

Output
- Crystal system: tetragonal
- Formation energy without anion corrections: -0.063 eV/atom
- Space-group type: I4mm, No. 107
- DOS(E_F): 1.480 states/eV/cell
- Calculated density: 7.694 Mg/m³

```
MnTlSe
1.0
6.492 0.001 -0.001
5.555 3.359 0.002
0.937 0.258 3.349
Tl Mn Se
1 1 1
direct
0.342 0.342 0.658 Tl
0.053 0.053 0.947 Mn
0.605 0.605 0.395 Se
```

Entry 2:
Computed, not measured: ReSIO2 after structural relaxation at the PBE-GGA level of DFT.

Output
- Crystal system: tetragonal
- Formation energy without anion corrections: 1.121 eV/atom
- Space-group type: P4/mmm, No. 123
- DOS(E_F): 4.156 states/eV/cell
- Calculated density: 6.943 Mg/m³

```
ReSIO2
1.0
-1.619 -1.172 3.176
2.584 -2.703 0.320
3.735 3.968 3.367
I O S Re
1 2 1 1
direct
0.000 0.000 0.500 I
0.500 0.000 0.000 O
0.000 0.500 0.000 O
0.000 0.000 0.000 S
0.500 0.500 0.500 Re
```

Entry 3:
Computed, not measured: RbReNi after structural relaxation at the PBE-GGA level of DFT.

Output
- Crystal system: orthorhombic
- Space-group type: Cmcm, No. 63
- Energy of formation from the pure elements: 742.0 meV per atom
- DOS(E_F): 13.414 states/eV/cell
- Calculated density: 7.704 Mg/m³

```
RbReNi
1.0
-6.976 9.487 6.006
-1.197 -3.157 3.597
3.555 1.199 2.236
Rb Re Ni
4 4 4
direct
0.289 0.750 0.000 Rb
0.789 0.750 0.500 Rb
0.211 0.250 0.500 Rb
0.711 0.250 0.000 Rb
0.500 0.500 0.500 Re
0.000 0.000 0.000 Re
0.000 0.500 0.000 Re
0.500 0.000 0.500 Re
0.526 0.750 0.000 Ni
0.974 0.250 0.500 Ni
0.474 0.250 0.000 Ni
0.026 0.750 0.500 Ni
```

Entry 4:
Computed, not measured: LiReTc2 after structural relaxation at the PBE-GGA level of DFT.

Output
- Crystal system: monoclinic
- Space-group type: Pm, No. 6
- Energy of formation from the pure elements: 186.5 meV per atom
- DOS(E_F): 2.959 states/eV/cell
- Calculated density: 11.431 Mg/m³

```
LiReTc2
1.0
4.317 0.000 0.000
0.000 2.611 -0.012
0.000 0.856 5.010
Li Re Tc
1 1 2
direct
0.000 0.499 0.497 Li
0.500 0.767 0.742 Re
0.500 0.229 0.265 Tc
0.000 0.004 0.996 Tc
```

Entry 5:
Computed, not measured: Na3MnCr after structural relaxation at the PBE-GGA level of DFT.

Output
- Crystal system: cubic
- Space-group type: Pm-3m, No. 221
- Energy of formation from the pure elements: 2096.5 meV per atom
- DOS(E_F): 11.155 states/eV/cell
- Calculated density: 1.820 Mg/m³

```
Na3MnCr
1.0
5.435 0.000 0.000
0.000 5.435 0.000
0.000 0.000 5.435
Na Mn Cr
3 1 1
direct
0.000 0.500 0.000 Na
0.500 0.000 0.000 Na
0.000 0.000 0.500 Na
0.000 0.000 0.000 Mn
0.500 0.500 0.500 Cr
```

Entry 6:
Computed, not measured: TlFeAs after structural relaxation at the PBE-GGA level of DFT.

Output
- Crystal system: trigonal
- Space-group type: P3m1, No. 156
- Energy of formation from the pure elements: 249.5 meV per atom
- DOS(E_F): 3.021 states/eV/cell
- Calculated density: 9.621 Mg/m³

```
TlFeAs
1.0
3.278 0.000 0.000
-1.639 2.839 0.000
0.000 0.000 6.216
Fe Tl As
1 1 1
direct
0.667 0.333 0.294 Fe
0.333 0.667 0.639 Tl
0.000 0.000 0.067 As
```

Entry 7:
Computed, not measured: Ca3Pm2ReN6 after structural relaxation at the PBE-GGA level of DFT.

Output
- Crystal system: monoclinic
- Formation energy without anion corrections: -0.900 eV/atom
- Space-group type: C2/m, No. 12
- DOS(E_F): 3.874 states/eV/cell
- Calculated density: 6.573 Mg/m³

```
Ca3Pm2ReN6
1.0
-1.893 -5.150 2.290
4.716 0.086 -3.619
2.437 2.415 4.867
N Re Ca Pm
6 1 3 2
direct
0.632 0.925 0.777 N
0.784 0.784 0.214 N
0.925 0.632 0.777 N
0.368 0.075 0.223 N
0.075 0.368 0.223 N
0.216 0.216 0.786 N
0.000 0.000 0.000 Re
0.838 0.162 0.500 Ca
0.162 0.838 0.500 Ca
0.500 0.500 0.500 Ca
0.668 0.332 0.000 Pm
0.332 0.668 0.000 Pm
```

Entry 8:
Computed, not measured: NiOsRu3 after structural relaxation at the PBE-GGA level of DFT.

Output
- Crystal system: cubic
- Space-group type: Pm-3m, No. 221
- Energy of formation from the pure elements: 1782.9 meV per atom
- DOS(E_F): 7.949 states/eV/cell
- Calculated density: 11.367 Mg/m³

```
NiOsRu3
1.0
4.321 0.000 0.000
0.000 4.321 0.000
0.000 0.000 4.321
Ru Os Ni
3 1 1
direct
0.000 0.500 0.000 Ru
0.500 0.000 0.000 Ru
0.000 0.000 0.500 Ru
0.500 0.500 0.500 Os
0.000 0.000 0.000 Ni
```